# 1
# USiHg, optimized geometry, DFT PBE
# E above lowest polymorph   0.00 kcal/mol of atoms
# Symmetry   F-43m
data_USiHg
_chemical_formula_sum 'U1 Si1 Hg1'
_cell_length_a 4.6945
_cell_length_b 4.6945
_cell_length_c 4.6945
_cell_angle_alpha 60.00
_cell_angle_beta 60.00
_cell_angle_gamma 60.00
_space_group_name_H-M_alt 'P 1'
_space_group_IT_number 1
loop_
_space_group_symop_operation_xyz
'x,y,z'
loop_
_atom_site_label
_atom_site_fract_x
_atom_site_fract_y
_atom_site_fract_z
_atom_site_occupancy
Hg1 0.2500 0.2500 0.2500 1
Si1 0.0000 0.0000 0.0000 1
U1 0.7500 0.7500 0.7500 1

=====

# 2
# USiHg, optimized geometry, DFT PBE
# E above lowest polymorph   4.59 kcal/mol of atoms
# Symmetry   F-43m
data_USiHg
_chemical_formula_sum 'U1 Si1 Hg1'
_cell_length_a 4.8246
_cell_length_b 4.8246
_cell_length_c 4.8246
_cell_angle_alpha 60.00
_cell_angle_beta 60.00
_cell_angle_gamma 60.00
_space_group_name_H-M_alt 'P 1'
_space_group_IT_number 1
loop_
_space_group_symop_operation_xyz
'x,y,z'
loop_
_atom_site_label
_atom_site_fract_x
_atom_site_fract_y
_atom_site_fract_z
_atom_site_occupancy
Hg1 0.0000 0.0000 0.0000 1
Si1 0.5000 0.5000 0.5000 1
U1 0.7500 0.7500 0.7500 1

=====

# 3
# SiHgW2, optimized geometry, DFT PBE
# Electronic total energy   -28.19 eV for the cell shown
# Symmetry   F-43m
data_SiHgW2
_chemical_formula_sum 'Si1 Hg1 W2'
_cell_length_a 4.5581
_cell_length_b 4.5581
_cell_length_c 4.5581
_cell_angle_alpha 60.00
_cell_angle_beta 60.00
_cell_angle_gamma 60.00
_space_group_name_H-M_alt 'P 1'
_space_group_IT_number 1
loop_
_space_group_symop_operation_xyz
'x,y,z'
loop_
_atom_site_label
_atom_site_fract_x
_atom_site_fract_y
_atom_site_fract_z
_atom_site_occupancy
Hg1 0.2500 0.2500 0.2500 1
Si1 0.5000 0.5000 0.5000 1
W1 0.0000 0.0000 0.0000 1
W2 0.7500 0.7500 0.7500 1

=====

# 4
# SiHg2W, optimized geometry, DFT PBE
# Electronic total energy   -14.97 eV for the cell shown
# Symmetry   F-43m
data_SiHg2W
_chemical_formula_sum 'Si1 Hg2 W1'
_cell_length_a 4.7036
_cell_length_b 4.7036
_cell_length_c 4.7036
_cell_angle_alpha 60.00
_cell_angle_beta 60.00
_cell_angle_gamma 60.00
_space_group_name_H-M_alt 'P 1'
_space_group_IT_number 1
loop_
_space_group_symop_operation_xyz
'x,y,z'
loop_
_atom_site_label
_atom_site_fract_x
_atom_site_fract_y
_atom_site_fract_z
_atom_site_occupancy
Hg1 0.0000 0.0000 0.0000 1
Hg2 0.7500 0.7500 0.7500 1
Si1 0.5000 0.5000 0.5000 1
W1 0.2500 0.2500 0.2500 1

=====

# 5
# Y2Si3Hg2, optimized geometry, DFT PBE
# Electronic total energy   -31.03 eV for the cell shown
# Symmetry   R3m
data_Y2Si3Hg2
_chemical_formula_sum 'Y2 Si3 Hg2'
_cell_length_a 10.1443
_cell_length_b 10.1443
_cell_length_c 10.1443
_cell_angle_alpha 24.72
_cell_angle_beta 24.72
_cell_angle_gamma 24.72
_space_group_name_H-M_alt 'P 1'
_space_group_IT_number 1
loop_
_space_group_symop_operation_xyz
'x,y,z'
loop_
_atom_site_label
_atom_site_fract_x
_atom_site_fract_y
_atom_site_fract_z
_atom_site_occupancy
Hg1 0.0407 0.0407 0.0407 1
Hg2 0.4922 0.4922 0.4922 1
Si1 0.3386 0.3386 0.3386 1
Si2 0.6414 0.6414 0.6414 1
Si3 0.8602 0.8602 0.8602 1
Y1 0.2414 0.2414 0.2414 1
Y2 0.7603 0.7603 0.7603 1

=====

# 6
# YSiHg2, optimized geometry, DFT PBE
# Electronic total energy   -12.83 eV for the cell shown
# Symmetry   F-43m
data_YSiHg2
_chemical_formula_sum 'Y1 Si1 Hg2'
_cell_length_a 5.0542
_cell_length_b 5.0542
_cell_length_c 5.0542
_cell_angle_alpha 60.00
_cell_angle_beta 60.00
_cell_angle_gamma 60.00
_space_group_name_H-M_alt 'P 1'
_space_group_IT_number 1
loop_
_space_group_symop_operation_xyz
'x,y,z'
loop_
_atom_site_label
_atom_site_fract_x
_atom_site_fract_y
_atom_site_fract_z
_atom_site_occupancy
Hg1 0.0000 0.0000 0.0000 1
Hg2 0.7500 0.7500 0.7500 1
Si1 0.5000 0.5000 0.5000 1
Y1 0.2500 0.2500 0.2500 1

=====

# 7
# Zn2SiHg, optimized geometry, DFT PBE
# Electronic total energy   -6.68 eV for the cell shown
# Symmetry   F-43m
data_Zn2SiHg
_chemical_formula_sum 'Zn2 Si1 Hg1'
_cell_length_a 4.6813
_cell_length_b 4.6813
_cell_length_c 4.6813
_cell_angle_alpha 60.00
_cell_angle_beta 60.00
_cell_angle_gamma 60.00
_space_group_name_H-M_alt 'P 1'
_space_group_IT_number 1
loop_
_space_group_symop_operation_xyz
'x,y,z'
loop_
_atom_site_label
_atom_site_fract_x
_atom_site_fract_y
_atom_site_fract_z
_atom_site_occupancy
Hg1 0.2500 0.2500 0.2500 1
Si1 0.5000 0.5000 0.5000 1
Zn1 0.0000 0.0000 0.0000 1
Zn2 0.7500 0.7500 0.7500 1

=====

# 8
# ZrSiHg2, optimized geometry, DFT PBE
# Electronic total energy   -13.65 eV for the cell shown
# Symmetry   F-43m
data_ZrSiHg2
_chemical_formula_sum 'Zr1 Si1 Hg2'
_cell_length_a 4.8934
_cell_length_b 4.8934
_cell_length_c 4.8934
_cell_angle_alpha 60.00
_cell_angle_beta 60.00
_cell_angle_gamma 60.00
_space_group_name_H-M_alt 'P 1'
_space_group_IT_number 1
loop_
_space_group_symop_operation_xyz
'x,y,z'
loop_
_atom_site_label
_atom_site_fract_x
_atom_site_fract_y
_atom_site_fract_z
_atom_site_occupancy
Hg1 0.0000 0.0000 0.0000 1
Hg2 0.7500 0.7500 0.7500 1
Si1 0.5000 0.5000 0.5000 1
Zr1 0.2500 0.2500 0.2500 1

=====

Table of V (A^3/atom), in record order: 24.39; 26.47; 16.74; 18.40; 22.93; 22.82; 18.14; 20.71